Below is crystalline Fe4Ni5Rh4 at its relaxed geometry, with properties calculated at the GGA-PBE level.

abc: 6.8682 6.8682 6.8682
angles: 94.17 94.17 148.72
With the nearest neighbours (Å) after each atom.
Element x y z (fractional)
Fe 0.1450 0.7774 0.9224  6 Ni 2.49-2.73, 4 Rh 2.52-2.62, 2 Fe 2.75
Fe 0.2226 0.1450 0.3677  6 Ni 2.49-2.73, 4 Rh 2.52-2.62, 2 Fe 2.75
Fe 0.7774 0.8550 0.6323  6 Ni 2.49-2.73, 4 Rh 2.52-2.62, 2 Fe 2.75
Fe 0.8550 0.2226 0.0776  6 Ni 2.49-2.73, 4 Rh 2.52-2.62, 2 Fe 2.75
Ni 0.0000 0.0000 0.0000  4 Fe 2.49, 8 Ni 2.55
Ni 0.3169 0.5419 0.8588  4 Ni 2.49-2.55, 5 Fe 2.53-2.73, 3 Rh 2.64
Ni 0.4581 0.3169 0.7749  4 Ni 2.49-2.55, 5 Fe 2.53-2.73, 3 Rh 2.64
Ni 0.5419 0.6831 0.2251  4 Ni 2.49-2.55, 5 Fe 2.53-2.73, 3 Rh 2.64
Ni 0.6831 0.4581 0.1412  4 Ni 2.49-2.55, 5 Fe 2.53-2.73, 3 Rh 2.64
Rh 0.0874 0.3784 0.4657  4 Fe 2.52-2.62, 3 Ni 2.64, 5 Rh 2.71-2.80
Rh 0.3784 0.9126 0.2910  4 Fe 2.52-2.62, 3 Ni 2.64, 5 Rh 2.71-2.80
Rh 0.6216 0.0874 0.7090  4 Fe 2.52-2.62, 3 Ni 2.64, 5 Rh 2.71-2.80
Rh 0.9126 0.6216 0.5343  4 Fe 2.52-2.62, 3 Ni 2.64, 5 Rh 2.71-2.80

Computed properties:
- Raw total energy: -7.12 eV per atom
- Space-group type: I4/m, No. 87